The following is a GGA-PBE calculation of crystalline Sc2AsRh5 at its relaxed geometry, from Alexandria via LeMat-Bulk.

Unit cell a=5.5205 b=10.8155 c=4.0652 alpha=90.00 beta=90.00 gamma=90.00
Positions (direct):
Sc: 0.1747 0.1407 0.0000
Sc: 0.3253 0.6407 0.0000
Sc: 0.6747 0.3593 0.0000
Sc: 0.8253 0.8593 0.0000
As: 0.0000 0.5000 0.5000
As: 0.5000 0.0000 0.5000
Rh: 0.0000 0.0000 0.5000
Rh: 0.0707 0.7439 0.5000
Rh: 0.1822 0.3939 0.0000
Rh: 0.3178 0.8939 0.0000
Rh: 0.4293 0.2439 0.5000
Rh: 0.5000 0.5000 0.5000
Rh: 0.5707 0.7561 0.5000
Rh: 0.6822 0.1061 0.0000
Rh: 0.8178 0.6061 0.0000
Rh: 0.9293 0.2561 0.5000

Properties
- ΔE_f: -0.8121 eV/atom
- E: -121.13 eV/cell